Entry 1:
A plane-wave DFT calculation with PBE-GGA was carried out for a geometry-optimized YPuCl structure.

abc: 3.5916 3.5919 13.7570
angles: 85.68 85.45 64.81
Space group P1 (No. 1)
Asymmetric unit:
Y 0.0000 0.0000 0.0000 (multiplicity 1)
Y 0.4745 0.4876 0.4730 (multiplicity 1)
Pu 0.5548 0.5602 0.1947 (multiplicity 1)
Pu 0.8882 0.8959 0.2794 (multiplicity 1)
Cl 0.0994 0.1159 0.6031 (multiplicity 1)
Cl 0.6844 0.6809 0.8683 (multiplicity 1)

Formation energy (no corrections) (eV/f.u.): -2.813
Total DFT energy (no corrections) (eV for the cell shown): -50.9

Entry 2:
A plane-wave DFT calculation with PBE-GGA was carried out for a geometry-optimized LaPmAu structure.

abc: 5.5519 8.8181 7.0469
angles: 90.00 90.00 90.00
Space group Cmcm (No. 63)
Asymmetric unit:
La 0.0000 0.1583 0.2500 (multiplicity 4)
Pm 0.0000 0.5000 0.0000 (multiplicity 4)
Au 0.0000 0.1841 0.7500 (multiplicity 4)

Energy of formation from the pure elements (eV/f.u.): -1.36
E above lowest polymorph (meV per atom): 92
Total DFT energy (no corrections) (eV for the cell shown): -57.3

Entry 3:
A plane-wave DFT calculation with PBE-GGA was carried out for a geometry-optimized HoMgZnGa structure.

abc: 6.8608 6.8608 6.8608
angles: 90.00 90.00 90.00
Space group F-43m (No. 216)
Asymmetric unit:
Ho 0.0000 0.0000 0.0000 (multiplicity 4)
Mg 0.0000 0.0000 0.5000 (multiplicity 4)
Zn 0.2500 0.2500 0.7500 (multiplicity 4)
Ga 0.2500 0.2500 0.2500 (multiplicity 4)

Energy of formation from the pure elements (eV/f.u.): -1.55
Total DFT energy (no corrections) (eV for the cell shown): -48.1

Entry 4:
A plane-wave DFT calculation with PBE-GGA was carried out for a geometry-optimized Pu2AlSi3Au4 structure.

abc: 4.2554 4.2554 10.6536
angles: 90.00 90.00 90.00
Space group P-4m2 (No. 115)
Asymmetric unit:
Pu 0.0000 0.5000 0.2417 (multiplicity 2)
Al 0.0000 0.0000 0.5000 (multiplicity 1)
Si 0.0000 0.5000 0.8608 (multiplicity 2)
Si 0.5000 0.5000 0.5000 (multiplicity 1)
Au 0.0000 0.0000 0.0000 (multiplicity 1)
Au 0.0000 0.5000 0.6321 (multiplicity 2)
Au 0.5000 0.5000 0.0000 (multiplicity 1)

Formation energy (no corrections) (eV/f.u.): -4.093
Total DFT energy (no corrections) (eV for the cell shown): -65.9

Entry 5:
A plane-wave DFT calculation with PBE-GGA was carried out for a geometry-optimized MgTa2Os structure.

abc: 2.8477 4.5026 5.4563
angles: 90.00 102.20 90.00
Space group Pm (No. 6)
Asymmetric unit:
Mg 0.0000 0.0000 0.0000 (multiplicity 1)
Ta 0.3265 0.5000 0.7541 (multiplicity 1)
Ta 0.6178 0.0000 0.4774 (multiplicity 1)
Os 0.8317 0.5000 0.2631 (multiplicity 1)

Energy of formation from the pure elements (eV/f.u.): 0.29
Total DFT energy (no corrections) (eV for the cell shown): -36.2

Entry 6:
A plane-wave DFT calculation with PBE-GGA was carried out for a geometry-optimized ZrCuReBi structure.

abc: 3.6107 3.4382 6.8274
angles: 90.00 104.80 90.00
Space group Pm (No. 6)
Asymmetric unit:
Zr 0.0000 0.0000 0.0000 (multiplicity 1)
Cu 0.6073 0.5000 0.2201 (multiplicity 1)
Re 0.4085 0.5000 0.8136 (multiplicity 1)
Bi 0.2347 0.0000 0.4762 (multiplicity 1)

Energy of formation from the pure elements (eV/f.u.): 0.94
E above lowest polymorph (meV per atom): 65
Total DFT energy (no corrections) (eV for the cell shown): -28.0

Entry 7:
A plane-wave DFT calculation with PBE-GGA was carried out for a geometry-optimized YMn2Cr structure.

abc: 3.5074 4.3773 4.5066
angles: 90.00 90.00 90.00
Space group Pmmm (No. 47)
Asymmetric unit:
Y 0.0000 0.0000 0.0000 (multiplicity 1)
Mn 0.0000 0.5000 0.5000 (multiplicity 1)
Mn 0.5000 0.5000 0.0000 (multiplicity 1)
Cr 0.5000 0.0000 0.5000 (multiplicity 1)

Energy of formation from the pure elements (eV/f.u.): 1.97
E above lowest polymorph (meV per atom): 294
Total DFT energy (no corrections) (eV for the cell shown): -32.5

Entry 8:
A plane-wave DFT calculation with PBE-GGA was carried out for a geometry-optimized Tc2AsW structure.

abc: 3.0947 3.0947 6.2912
angles: 90.00 90.00 90.00
Space group P4/mmm (No. 123)
Asymmetric unit:
Tc 0.0000 0.0000 0.2476 (multiplicity 2)
As 0.5000 0.5000 0.0000 (multiplicity 1)
W 0.5000 0.5000 0.5000 (multiplicity 1)

Energy of formation from the pure elements (eV/f.u.): -0.04
Total DFT energy (no corrections) (eV for the cell shown): -38.4

Entry 9:
A plane-wave DFT calculation with PBE-GGA was carried out for a geometry-optimized NpVRu2 structure.

abc: 2.9811 2.9811 7.1603
angles: 90.00 90.00 90.00
Space group P4/mmm (No. 123)
Asymmetric unit:
Np 0.0000 0.0000 0.0000 (multiplicity 1)
V 0.0000 0.0000 0.5000 (multiplicity 1)
Ru 0.5000 0.5000 0.2932 (multiplicity 2)

Energy of formation from the pure elements (eV/f.u.): -0.44
Total DFT energy (no corrections) (eV for the cell shown): -41.1

Entry 10:
A plane-wave DFT calculation with PBE-GGA was carried out for a geometry-optimized LiTa2Pd7 structure.

abc: 7.1216 13.0702 4.3219
angles: 90.00 90.00 90.00
Space group Cmmm (No. 65)
Asymmetric unit:
Li 0.0000 0.0000 0.0000 (multiplicity 2)
Ta 0.0000 0.2980 0.5000 (multiplicity 4)
Pd 0.0000 0.2005 0.0000 (multiplicity 4)
Pd 0.0000 0.5000 0.5000 (multiplicity 2)
Pd 0.1873 0.1091 0.5000 (multiplicity 8)

Energy of formation from the pure elements (eV/f.u.): 2.07
Total DFT energy (no corrections) (eV for the cell shown): -119.8

Entry 11:
A plane-wave DFT calculation with PBE-GGA was carried out for a geometry-optimized Er3IO7 structure.

abc: 7.6660 10.6152 7.5125
angles: 90.00 90.00 90.00
Space group C222_1 (No. 20)
Asymmetric unit:
Er 0.0357 0.0000 0.0000 (multiplicity 4)
Er 0.2337 0.2635 0.7560 (multiplicity 8)
I 0.0038 0.5000 0.0000 (multiplicity 4)
O 0.0000 0.1328 0.2500 (multiplicity 4)
O 0.0000 0.1385 0.7500 (multiplicity 4)
O 0.0000 0.4116 0.7500 (multiplicity 4)
O 0.1916 0.3761 0.0411 (multiplicity 8)
O 0.2208 0.3706 0.4800 (multiplicity 8)

Formation energy (no corrections) (eV/f.u.): -27.931
Total DFT energy (no corrections) (eV for the cell shown): -311.5

Entry 12:
A plane-wave DFT calculation with PBE-GGA was carried out for a geometry-optimized La2ScPdO structure.

abc: 5.1458 5.1458 4.2127
angles: 90.00 90.00 90.00
Space group P4/mmm (No. 123)
Asymmetric unit:
La 0.0000 0.5000 0.0000 (multiplicity 2)
Sc 0.0000 0.0000 0.5000 (multiplicity 1)
Pd 0.5000 0.5000 0.5000 (multiplicity 1)
O 0.0000 0.0000 0.0000 (multiplicity 1)

Formation energy (no corrections) (eV/f.u.): -6.945
Total DFT energy (no corrections) (eV for the cell shown): -33.3

Looking at volume for the records above, in order, we have 26.65 28.75 20.18 19.29 17.10 20.49 17.30 15.06 15.91 20.11 13.89 22.31 Å³/atom.
Looking at magnetic moment for the records above, in order, we have 0.002 0.000 0.000 1.073 0.000 0.000 0.483 0.000 0.608 0.000 0.000 0.000 μB per atom.